Compound: CeDySc2As4
Source: the Alexandria database
Functional: PBE
Structure: relaxed

a = 6.9394 Å, b = 4.0331 Å, c = 6.9833 Å
α = 90.00°, β = 109.52°, γ = 90.00°
Closest atoms and distances in Å follow each position.
Space group P2/m (No. 10)
Symmetry-distinct sites (fractional):
Ce: 0.0000 0.0000 0.0000 x1  6 As 2.91-2.92
Dy: 0.0000 0.5000 0.5000 x1  6 As 2.90
Sc: 0.5000 0.0000 0.5000 x1  6 As 2.77-2.78
Sc: 0.5000 0.5000 0.0000 x1  6 As 2.79
As: 0.2656 0.0000 0.7541 x2  3 Sc 2.78-2.79, 2 Dy 2.90, 1 Ce 2.91
As: 0.2679 0.5000 0.2579 x2  3 Sc 2.77-2.79, 1 Dy 2.90, 2 Ce 2.92

Summary:
Energy of formation from the pure elements: -1416.1 meV/atom
VASP energy: -6.64 eV per atom
DOS(E_F): 0.75 states/eV per atom

---

Compound: Bi2TeO5
Source: the Alexandria database
Functional: PBE
Structure: relaxed

a = 9.8112 Å, b = 7.7721 Å, c = 7.4871 Å
α = 90.00°, β = 100.59°, γ = 90.00°
Closest atoms and distances in Å follow each position.
Space group P2_1/c (No. 14)
Symmetry-distinct sites (fractional):
Bi: 0.0242 0.0873 0.2137 x4  4 O 2.18-2.35
Bi: 0.3686 0.1703 0.0291 x4  5 O 2.23-2.44
Te: 0.2740 0.5975 0.0668 x4  3 O 1.88-2.06
O: 0.1006 0.6624 0.8793 x4  1 Te 2.06
O: 0.1256 0.0829 0.9785 x4  2 Bi 2.18-2.28
O: 0.2747 0.0939 0.3889 x4  1 Te 2.00, 1 Bi 2.23
O: 0.3744 0.1022 0.7329 x4  1 Te 2.12, 2 Bi 2.29-2.33
O: 0.4057 0.7367 0.9816 x4  1 Te 1.88

Summary:
Formation energy (no corrections): -25.79 kcal/mol of atoms
VASP energy: -5.58 eV per atom
Excess energy over the best structure of this formula in the dataset: 90 meV/atom
DOS(E_F): 0.00 states/eV per atom

---

Compound: SrAcCu
Source: the Alexandria database
Functional: PBE
Structure: relaxed

a = 3.8539 Å, b = 3.8539 Å, c = 14.0334 Å
α = 90.00°, β = 90.00°, γ = 90.00°
Closest atoms and distances in Å follow each position.
Space group I4mm (No. 107)
Symmetry-distinct sites (fractional):
Sr: 0.0000 0.0000 0.0000 x2  4 Cu 3.38, 1 Ac 3.67
Ac: 0.0000 0.0000 0.2613 x2  4 Cu 3.19
Cu: 0.0000 0.0000 0.6428 x2  4 Ac 3.19, 4 Sr 3.38

Summary:
Energy of formation from the pure elements: -3.9 meV/atom
VASP energy: -3.30 eV per atom
Excess energy over the best structure of this formula in the dataset: 69 meV/atom
DOS(E_F): 1.19 states/eV per atom

---

Compound: FeCu2As
Source: the Alexandria database
Functional: PBE
Structure: relaxed

a = 2.7088 Å, b = 4.5365 Å, c = 4.3167 Å
α = 90.00°, β = 91.32°, γ = 90.00°
Closest atoms and distances in Å follow each position.
Space group P2/m (No. 10)
Symmetry-distinct sites (fractional):
Fe: 0.0000 0.0000 0.0000 x1  4 As 2.52-2.57, 4 Cu 2.61, 2 Fe 2.71
Cu: 0.2733 0.5000 0.7564 x2  4 Cu 2.41-2.63, 2 As 2.60, 2 Fe 2.61
As: 0.5000 0.0000 0.5000 x1  4 Fe 2.52-2.57, 4 Cu 2.60, 2 As 2.71

Summary:
Energy of formation from the pure elements: 188.0 meV/atom
VASP energy: -5.14 eV per atom
DOS(E_F): 0.65 states/eV per atom

---

Compound: Ac2Bi3Rh4Au
Source: the Alexandria database
Functional: PBE
Structure: relaxed

a = 4.5683 Å, b = 4.5683 Å, c = 11.4314 Å
α = 90.00°, β = 90.00°, γ = 90.00°
Closest atoms and distances in Å follow each position.
Space group P-4m2 (No. 115)
Symmetry-distinct sites (fractional):
Ac: 0.0000 0.5000 0.2356 x2  8 Rh 3.41-3.79, 6 Bi 3.53-3.58, 2 Au 3.53
Bi: 0.0000 0.0000 0.0000 x1  4 Rh 2.78
Bi: 0.0000 0.5000 0.6291 x2  5 Rh 2.65-2.72
Rh: 0.0000 0.0000 0.5000 x1  4 Bi 2.72
Rh: 0.0000 0.5000 0.8613 x2  3 Bi 2.65-2.78, 2 Au 2.78
Rh: 0.5000 0.5000 0.5000 x1  4 Bi 2.72
Au: 0.5000 0.5000 0.0000 x1  4 Rh 2.78

Summary:
Energy of formation from the pure elements: -500.5 meV/atom
VASP energy: -5.75 eV per atom
DOS(E_F): 0.68 states/eV per atom

---

Compound: BaGa3Cu
Source: the Alexandria database
Functional: PBE
Structure: relaxed

a = 6.3981 Å, b = 10.9094 Å, c = 6.2939 Å
α = 90.00°, β = 90.00°, γ = 90.00°
Closest atoms and distances in Å follow each position.
Space group Cmcm (No. 63)
Symmetry-distinct sites (fractional):
Ba: 0.0000 0.2492 0.2500 x4  12 Ga 3.37-3.55, 4 Cu 3.45-3.51
Ga: 0.0000 0.3586 0.7500 x4  1 Cu 2.61, 4 Ga 2.74
Ga: 0.2464 0.0000 0.0000 x8  2 Cu 2.58, 2 Ga 2.74
Cu: 0.0000 0.1193 0.7500 x4  5 Ga 2.58-2.61

Summary:
Energy of formation from the pure elements: -354.4 meV/atom
VASP energy: -3.37 eV per atom
DOS(E_F): 0.42 states/eV per atom

---

Question: Among the records above, which one has the lowest VASP energy?
Answer: CeDySc2As4

---

Question: Among the records above, which one has the highest DOS(E_F)?
Answer: SrAcCu

---

Question: Which value of VASP energy does entry 3 give?
Answer: -3.30 eV per atom